Record 1
# MnNb14Os

MnNb14Os after structural relaxation (GGA-PBE, the Alexandria database).

Calculated values
Final energy: -162.65 eV per cell
Volume: 17.47 Å³ per atom
DFT formation energy: -0.080 eV/atom

Cell: 6.5143 6.5143 6.5861 Å, 90.00 90.00 90.00°
Last column: nearest neighbours and their distance in Å.
Space group P4/mmm (No. 123)
Symmetry-distinct sites (fractional):
Mn1 0.0000 0.0000 0.0000 (multiplicity 1)  8 Nb 2.79
Nb1 0.0000 0.0000 0.5000 (multiplicity 1)  8 Nb 2.85
Nb2 0.0000 0.5000 0.0000 (multiplicity 2)  8 Nb 2.80
Nb3 0.0000 0.5000 0.5000 (multiplicity 2)  8 Nb 2.86
Nb4 0.2485 0.2485 0.2426 (multiplicity 8)  1 Mn 2.79, 6 Nb 2.80-2.87, 1 Os 2.81
Nb5 0.5000 0.5000 0.5000 (multiplicity 1)  8 Nb 2.87
Os1 0.5000 0.5000 0.0000 (multiplicity 1)  8 Nb 2.81


Record 2
# NaSc2CuS4

NaSc2CuS4 after structural relaxation (GGA-PBE, the Alexandria database).

Calculated values
E_form (uncorrected): -34.6 kcal/mol of atoms
Final energy: -186.31 eV per cell
Volume: 19.22 Å³ per atom

Cell: 3.7272 12.4942 13.2070 Å, 90.00 90.00 90.00°
Last column: nearest neighbours and their distance in Å.
Space group Cmcm (No. 63)
Symmetry-distinct sites (fractional):
Na1 0.0000 0.1174 0.2500 (multiplicity 4)  6 S 2.83-3.00
Sc1 0.0000 0.3670 0.0666 (multiplicity 8)  6 S 2.57-2.65
Cu1 0.0000 0.1596 0.7500 (multiplicity 4)  4 S 2.29
S1 0.0000 0.0000 0.0000 (multiplicity 4)  4 Sc 2.65
S2 0.0000 0.2674 0.6096 (multiplicity 8)  1 Cu 2.29
S3 0.0000 0.4469 0.2500 (multiplicity 4)  2 Cu 2.29


Record 3
# Tb5Dy2Y

Tb5Dy2Y after structural relaxation (GGA-PBE, the Alexandria database).

Calculated values
Final energy: -74.80 eV per cell
Volume: 32.78 Å³ per atom
DFT formation energy: 0.178 eV/atom

Cell: 5.7646 8.5072 11.1710 Å, 90.06 90.04 106.76°
Last column: nearest neighbours and their distance in Å.
Space group P-1 (No. 2)
Symmetry-distinct sites (fractional):
Tb1 0.1670 0.2093 0.4240 (multiplicity 2)  3 Dy 3.13-3.49, 2 Tb 3.36-3.45
Tb2 0.1705 0.2105 0.0776 (multiplicity 2)  3 Dy 3.12-3.48, 2 Tb 3.35-3.45
Tb3 0.2635 0.5784 0.7498 (multiplicity 2)  2 Dy 3.47, 1 Y 3.51, 6 Tb 3.70-3.80
Tb4 0.3013 0.6203 0.4206 (multiplicity 2)  4 Tb 3.36-3.73, 1 Y 3.51, 2 Dy 3.52-3.56
Tb5 0.3025 0.6208 0.0796 (multiplicity 2)  4 Tb 3.35-3.74, 1 Y 3.50, 2 Dy 3.52-3.55
Dy1 0.3813 0.9607 0.8845 (multiplicity 2)  2 Dy 2.91-2.99, 1 Tb 3.12
Dy2 0.3854 0.9620 0.6167 (multiplicity 2)  2 Dy 2.91-2.99, 1 Tb 3.13
Y1 0.0025 0.8484 0.2492 (multiplicity 2)  4 Dy 3.44-3.76, 7 Tb 3.50-3.78


Record 4
# Tl3SiF

Tl3SiF after structural relaxation (GGA-PBE, the Alexandria database).

Calculated values
E_form (uncorrected): -4.3 kcal/mol of atoms
Final energy: -15.33 eV per cell
Volume: 27.38 Å³ per atom

Cell: 5.1539 5.1539 5.1539 Å, 90.00 90.00 90.00°
Last column: nearest neighbours and their distance in Å.
Space group Pm-3m (No. 221)
Symmetry-distinct sites (fractional):
Tl1 0.0000 0.0000 0.5000 (multiplicity 3)  2 F 2.58
Si1 0.5000 0.5000 0.5000 (multiplicity 1)  12 Tl 3.64
F1 0.0000 0.0000 0.0000 (multiplicity 1)  6 Tl 2.58


Record 5
# LaTeOs2

LaTeOs2 after structural relaxation (GGA-PBE, the Alexandria database).

Calculated values
E_form (uncorrected): 9.2 kcal/mol of atoms
Final energy: -57.87 eV per cell
Volume: 20.65 Å³ per atom

Cell: 3.2272 5.0457 10.1450 Å, 90.00 90.00 90.00°
Last column: nearest neighbours and their distance in Å.
Space group Imm2 (No. 44)
Symmetry-distinct sites (fractional):
La1 0.0000 0.0000 0.0000 (multiplicity 2)  8 Os 2.99-3.35, 2 La 3.23, 2 Te 3.24
Te1 0.0000 0.5000 0.2229 (multiplicity 2)  6 Os 2.80-3.07
Os1 0.0000 0.0000 0.4979 (multiplicity 2)  2 Os 2.66, 2 Te 2.80
Os2 0.0000 0.5000 0.7897 (multiplicity 2)  2 Os 2.66


Record 6
# LaPr2Tm2

LaPr2Tm2 after structural relaxation (GGA-PBE, the Alexandria database).

Calculated values
Final energy: -90.95 eV per cell
Volume: 34.80 Å³ per atom
DFT formation energy: 0.138 eV/atom

Cell: 5.8964 7.1680 16.4682 Å, 90.00 90.00 90.00°
Last column: nearest neighbours and their distance in Å.
Space group Imma (No. 74)
Symmetry-distinct sites (fractional):
La1 0.0000 0.2500 0.1095 (multiplicity 4)  5 Tm 3.46-3.71, 6 Pr 3.71-3.77
Pr1 0.0000 0.0036 0.6898 (multiplicity 8)  4 Pr 3.53-3.63, 5 Tm 3.58-3.66, 3 La 3.71-3.77
Tm1 0.0000 0.2500 0.5010 (multiplicity 4)  2 La 3.46, 4 Tm 3.50-3.58, 4 Pr 3.58-3.63
Tm2 0.0000 0.2500 0.8842 (multiplicity 4)  2 Tm 3.50, 3 La 3.59-3.71, 6 Pr 3.65-3.66


Record 7
# RbSiNiIr2

RbSiNiIr2 after structural relaxation (GGA-PBE, the Alexandria database).

Calculated values
E_form (uncorrected): 15.4 kcal/mol of atoms
Final energy: -26.56 eV per cell
Volume: 19.41 Å³ per atom

Cell: 4.5966 4.5966 4.5943 Å, 90.00 90.00 90.00°
Last column: nearest neighbours and their distance in Å.
Space group P4/mmm (No. 123)
Symmetry-distinct sites (fractional):
Rb1 0.0000 0.0000 0.0000 (multiplicity 1)  8 Ir 3.25, 4 Ni 3.25
Si1 0.5000 0.5000 0.5000 (multiplicity 1)  2 Ni 2.30, 4 Ir 2.30
Ni1 0.5000 0.5000 0.0000 (multiplicity 1)  2 Si 2.30
Ir1 0.0000 0.5000 0.5000 (multiplicity 2)  2 Si 2.30


Record 8
# SrThSb2

SrThSb2 after structural relaxation (GGA-PBE, the Alexandria database).

Calculated values
E_form (uncorrected): -23.5 kcal/mol of atoms
Final energy: -64.26 eV per cell
Volume: 35.46 Å³ per atom

Cell: 4.6253 4.6253 22.9641 Å, 90.00 90.00 120.00°
Last column: nearest neighbours and their distance in Å.
Space group R-3m (No. 166, hexagonal axes)
Symmetry-distinct sites (fractional):
Sr1 0.0000 0.0000 0.0000 (multiplicity 3)  6 Sb 3.38
Th1 0.0000 0.0000 0.5000 (multiplicity 3)  6 Sb 3.20
Sb1 0.0000 0.0000 0.2433 (multiplicity 6)  3 Th 3.20, 3 Sr 3.38


Record 9
# Li2Ga3Ag4

Li2Ga3Ag4 after structural relaxation (GGA-PBE, the Alexandria database).

Calculated values
Final energy: -51.90 eV per cell
Volume: 16.52 Å³ per atom
DFT formation energy: -0.182 eV/atom

Cell: 8.2536 4.3460 8.3424 Å, 90.00 96.57 90.00°
Last column: nearest neighbours and their distance in Å.
Space group C2/m (No. 12)
Symmetry-distinct sites (fractional):
Li1 0.1773 0.0000 0.2182 (multiplicity 4)  7 Ag 2.73-2.85, 1 Ga 2.85
Ga1 0.0000 0.5000 0.0000 (multiplicity 2)  8 Ag 2.72-2.84
Ga2 0.1604 0.0000 0.5575 (multiplicity 4)  3 Ga 2.71-2.86, 4 Ag 2.72-2.85, 1 Li 2.85
Ag1 0.0175 0.5000 0.3275 (multiplicity 4)  4 Ga 2.72-2.85, 3 Li 2.75-2.85, 1 Ag 2.93
Ag2 0.1612 0.0000 0.8892 (multiplicity 4)  4 Li 2.73-2.83, 4 Ga 2.76-2.84


Record 10
# Ca6SnN2

Ca6SnN2 after structural relaxation (GGA-PBE, the Alexandria database).

Calculated values
E_form (uncorrected): -9.5 kcal/mol of atoms
Final energy: -290.89 eV per cell
Volume: 26.65 Å³ per atom

Cell: 12.4262 12.4262 12.4262 Å, 90.00 90.00 90.00°
Last column: nearest neighbours and their distance in Å.
Space group Fd-3m (No. 227, origin choice 2)
Symmetry-distinct sites (fractional):
Ca1 0.0812 0.3750 0.3750 (multiplicity 48)  2 N 2.42
Sn1 0.1250 0.1250 0.6250 (multiplicity 8)  6 Ca 3.65
N1 0.0000 0.0000 0.0000 (multiplicity 16)  6 Ca 2.42


Record 11
# La2PtCl2

La2PtCl2 after structural relaxation (GGA-PBE, the Alexandria database).

Calculated values
E_form (uncorrected): -40.7 kcal/mol of atoms
Final energy: -56.81 eV per cell
Volume: 31.70 Å³ per atom

Cell: 7.2820 4.2077 10.3458 Å, 90.00 90.08 90.00°
Last column: nearest neighbours and their distance in Å.
Space group C2/m (No. 12)
Symmetry-distinct sites (fractional):
La1 0.1677 0.0000 0.3337 (multiplicity 4)  3 Pt 2.97-2.98, 3 Cl 2.99-3.00
Pt1 0.0000 0.5000 0.5000 (multiplicity 2)  6 La 2.97-2.98
Cl1 0.1651 0.0000 0.8353 (multiplicity 4)  3 La 2.99-3.00


Record 12
# Ac3GdCo

Ac3GdCo after structural relaxation (GGA-PBE, the Alexandria database).

Calculated values
Final energy: -33.19 eV per cell
Volume: 37.07 Å³ per atom
DFT formation energy: 0.065 eV/atom

Cell: 5.7016 5.7016 5.7016 Å, 90.00 90.00 90.00°
Last column: nearest neighbours and their distance in Å.
Space group Pm-3m (No. 221)
Symmetry-distinct sites (fractional):
Ac1 0.0000 0.0000 0.5000 (multiplicity 3)  2 Co 2.85
Gd1 0.5000 0.5000 0.5000 (multiplicity 1)  12 Ac 4.03
Co1 0.0000 0.0000 0.0000 (multiplicity 1)  6 Ac 2.85